(1)
Entry from the Alexandria database: a geometry-optimized AlOs2W structure (GGA-PBEsol).

Unit cell a=2.9132 b=4.4858 c=5.0899 alpha=116.15 beta=106.63 gamma=90.00
Atoms (fractional coordinates):
W  0.5000  0.0000  0.0000
Al  0.0000  0.5000  0.0000
Os  0.7363  0.7363  0.4727
Os  0.2637  0.2637  0.5273

Values from the calculation:
ΔE_f: 0.02 eV/atom
density of states at the Fermi level: 0.56 states/eV per atom
final energy: -42.26 eV for the cell shown

---

(2)
Entry from the Alexandria database: a geometry-optimized Li4Cr3Co3Ni2O16 structure (GGA-PBEsol).

Unit cell a=5.5662 b=5.5662 c=9.2011 alpha=89.67 beta=89.67 gamma=60.50
Site moments in Bohr magnetons follow the coordinates.
Atoms (fractional coordinates):
O  0.6656  0.6656  0.9040  0.01
Cr  0.1733  0.1733  0.2896  1.74
O  0.4801  0.4801  0.1660  0.08
Co  0.6562  0.1675  0.2869  -0.13
O  0.6681  0.1663  0.8954  0.00
O  0.9981  0.9981  0.6935  -0.01
Ni  0.6673  0.6673  0.5091  0.65
O  0.8365  0.8365  0.3980  -0.02
O  0.9614  0.5218  0.6591  0.03
Ni  0.3346  0.3346  0.0145  0.61
O  0.5213  0.5213  0.6583  0.01
O  0.4801  0.0414  0.1584  0.02
O  0.1644  0.1644  0.8946  -0.02
Li  0.6679  0.6679  0.1099  0.00
O  0.3356  0.3356  0.3989  0.01
O  0.9978  0.9978  0.1936  -0.01
O  0.8384  0.3281  0.3933  -0.01
O  0.0414  0.4801  0.1584  0.02
Co  0.1675  0.6562  0.2869  -0.13
Li  0.9924  0.9924  0.0046  0.00
Li  0.9964  0.9964  0.5035  0.00
O  0.3281  0.8384  0.3933  -0.01
O  0.1663  0.6681  0.8954  0.00
Li  0.3358  0.3358  0.6033  0.00
Cr  0.8275  0.3453  0.7887  1.95
Cr  0.3453  0.8275  0.7887  1.95
O  0.5218  0.9614  0.6591  0.03
Co  0.8258  0.8258  0.7870  0.03

Values from the calculation:
E_form (uncorrected): -1512 meV/atom
density of states at the Fermi level: 0.33 states/eV per atom
final energy: -200.44 eV for the cell shown

---

(3)
Entry from the Alexandria database: a geometry-optimized ZrCrIr2 structure (GGA-PBEsol).

Unit cell a=3.6528 b=4.0943 c=4.0943 alpha=90.00 beta=90.00 gamma=90.00
Site moments in Bohr magnetons follow the coordinates.
Atoms (fractional coordinates):
Cr  0.5000  0.0000  0.0000  2.81
Zr  0.5000  0.5000  0.5000  0.10
Ir  0.0000  0.0000  0.5000  0.02
Ir  0.0000  0.5000  0.0000  0.02

Values from the calculation:
ΔE_f: -0.45 eV/atom
density of states at the Fermi level: 0.72 states/eV per atom
final energy: -40.79 eV for the cell shown

---

(4)
Entry from the Alexandria database: a geometry-optimized CaAlSiO5 structure (GGA-PBEsol).

Unit cell a=5.3611 b=5.3611 c=6.9671 alpha=103.13 beta=103.13 gamma=106.95
Site moments in Bohr magnetons follow the coordinates.
Atoms (fractional coordinates):
O  0.3059  0.8834  0.6044  0.03
O  0.8834  0.3059  0.1044  0.03
Al  0.0000  0.0000  0.0000  -0.01
Ca  0.6738  0.3262  0.7500  0.00
O  0.6941  0.1166  0.3956  0.03
O  0.9386  0.0614  0.7500  0.50
Ca  0.3262  0.6738  0.2500  0.00
Al  0.0000  0.0000  0.5000  -0.01
O  0.2420  0.3663  0.6050  0.16
O  0.6337  0.7580  0.8950  0.16
O  0.7580  0.6337  0.3950  0.16
O  0.0614  0.9386  0.2500  0.50
Si  0.3156  0.6844  0.7500  0.00
O  0.1166  0.6941  0.8956  0.03
Si  0.6844  0.3156  0.2500  0.00
O  0.3663  0.2420  0.1050  0.16

Values from the calculation:
E_form (uncorrected): -2766 meV/atom
density of states at the Fermi level: 0.03 states/eV per atom
final energy: -120.69 eV for the cell shown

---

(5)
Entry from the Alexandria database: a geometry-optimized HfHg3F structure (GGA-PBEsol).

Unit cell a=5.4852 b=5.4852 c=5.4852 alpha=90.00 beta=90.00 gamma=90.00
Atoms (fractional coordinates):
Hf  0.0000  0.0000  0.0000
Hg  0.5000  0.0000  0.0000
F  0.5000  0.5000  0.5000
Hg  0.0000  0.5000  0.0000
Hg  0.0000  0.0000  0.5000

Values from the calculation:
E_form (uncorrected): 393 meV/atom
density of states at the Fermi level: 0.88 states/eV per atom
final energy: -12.17 eV for the cell shown

---

(6)
Entry from the Alexandria database: a geometry-optimized Cs3BS3 structure (GGA-PBEsol).

Unit cell a=6.5600 b=10.5307 c=13.5354 alpha=102.38 beta=90.00 gamma=90.00
Atoms (fractional coordinates):
S  0.2897  0.0900  0.6165
Cs  0.1493  0.7491  0.0088
S  0.8459  0.6626  0.4654
B  0.3727  0.2339  0.1264
B  0.6273  0.7661  0.8736
S  0.6541  0.6626  0.9654
B  0.1273  0.2339  0.6264
Cs  0.6493  0.2509  0.4912
S  0.3459  0.3374  0.0346
S  0.2103  0.0900  0.1165
S  0.1541  0.3374  0.5346
Cs  0.2852  0.0359  0.8573
S  0.4430  0.7225  0.7694
Cs  0.9480  0.5973  0.6991
Cs  0.2148  0.0359  0.3573
S  0.7897  0.9100  0.8835
Cs  0.8507  0.2509  0.9912
Cs  0.4480  0.4027  0.8009
Cs  0.3507  0.7491  0.5088
Cs  0.0520  0.4027  0.3009
Cs  0.7852  0.9641  0.6427
S  0.9430  0.2775  0.7306
B  0.8727  0.7661  0.3736
Cs  0.7148  0.9641  0.1427
S  0.7103  0.9100  0.3835
Cs  0.5520  0.5973  0.1991
S  0.5570  0.2775  0.2306
S  0.0570  0.7225  0.2694

Values from the calculation:
E_form (uncorrected): -1080 meV/atom
density of states at the Fermi level: 0.00 states/eV per atom
final energy: -122.23 eV for the cell shown

---

(7)
Entry from the Alexandria database: a geometry-optimized CsNi2PtBr structure (GGA-PBEsol).

Unit cell a=4.3422 b=4.3422 c=6.3847 alpha=90.00 beta=90.00 gamma=90.00
Site moments in Bohr magnetons follow the coordinates.
Atoms (fractional coordinates):
Pt  0.5000  0.5000  0.5000  0.02
Ni  0.0000  0.5000  0.0000  0.25
Cs  0.0000  0.0000  0.5000  -0.01
Ni  0.5000  0.0000  0.0000  0.25
Br  0.0000  0.0000  0.0000  0.02

Values from the calculation:
E_form (uncorrected): 1043 meV/atom
density of states at the Fermi level: 1.63 states/eV per atom
final energy: -16.88 eV for the cell shown

---

(8)
Entry from the Alexandria database: a geometry-optimized MgIr2Rh structure (GGA-PBEsol).

Unit cell a=2.7417 b=2.7417 c=7.7225 alpha=90.00 beta=90.00 gamma=90.00
Atoms (fractional coordinates):
Ir  0.5000  0.5000  0.2364
Ir  0.0000  0.0000  0.9993
Mg  0.0000  0.0000  0.5014
Rh  0.5000  0.5000  0.7629

Values from the calculation:
ΔE_f: -0.14 eV/atom
density of states at the Fermi level: 0.88 states/eV per atom
final energy: -30.05 eV for the cell shown

---

(9)
Entry from the Alexandria database: a geometry-optimized Ca2TeF structure (GGA-PBEsol).

Unit cell a=7.2221 b=7.2221 c=6.2931 alpha=125.02 beta=125.02 gamma=90.00
Site moments in Bohr magnetons follow the coordinates.
Atoms (fractional coordinates):
Ca  0.1250  0.2174  0.7500  0.14
Te  0.0000  0.0000  0.0000  0.00
Ca  0.6250  0.5326  0.7500  0.14
Ca  0.7826  0.3750  0.2500  0.14
Ca  0.4674  0.8750  0.2500  0.14
F  0.7500  0.2500  0.5000  0.02
Te  0.2500  0.7500  0.5000  0.00
F  0.5000  0.5000  0.0000  0.02

Values from the calculation:
E_form (uncorrected): -2021 meV/atom
density of states at the Fermi level: 0.66 states/eV per atom
final energy: -35.61 eV for the cell shown

---

(10)
Entry from the Alexandria database: a geometry-optimized LiFeTe2 structure (GGA-PBEsol).

Unit cell a=3.3097 b=3.3097 c=7.3126 alpha=90.00 beta=90.00 gamma=90.00
Site moments in Bohr magnetons follow the coordinates.
Atoms (fractional coordinates):
Fe  0.5000  0.5000  0.0000  2.49
Te  0.0000  0.0000  0.2209  -0.01
Te  0.0000  0.0000  0.7791  -0.01
Li  0.5000  0.5000  0.5000  0.01

Values from the calculation:
E_form (uncorrected): -38 meV/atom
density of states at the Fermi level: 0.61 states/eV per atom
final energy: -18.13 eV for the cell shown

---

(11)
Entry from the Alexandria database: a geometry-optimized ZnPdBr2 structure (GGA-PBEsol).

Unit cell a=5.9452 b=5.9452 c=6.9068 alpha=115.49 beta=115.49 gamma=90.00
Atoms (fractional coordinates):
Br  0.8597  0.3750  0.2500
Zn  0.5000  0.5000  0.0000
Br  0.6250  0.6097  0.7500
Zn  0.7500  0.2500  0.5000
Pd  0.0000  0.0000  0.0000
Br  0.1250  0.1403  0.7500
Pd  0.2500  0.7500  0.5000
Br  0.3903  0.8750  0.2500

Values from the calculation:
E_form (uncorrected): -103 meV/atom
density of states at the Fermi level: 0.32 states/eV per atom
final energy: -23.39 eV for the cell shown

---

(12)
Entry from the Alexandria database: a geometry-optimized Mn2HgCl structure (GGA-PBEsol).

Unit cell a=2.9947 b=4.4354 c=6.1746 alpha=111.05 beta=104.03 gamma=90.00
Site moments in Bohr magnetons follow the coordinates.
Atoms (fractional coordinates):
Hg  0.2193  0.7193  0.4387  -0.03
Cl  0.4500  0.4500  0.8999  0.06
Mn  0.0633  0.0633  0.1266  3.89
Mn  0.7674  0.2674  0.5348  3.48

Values from the calculation:
E_form (uncorrected): 282 meV/atom
density of states at the Fermi level: 0.60 states/eV per atom
final energy: -20.97 eV for the cell shown